# 1
meta-GGA SCAN ZnSb2Au, single point on PBEsol structure; SG = Amm2, No. 38; V = 90.81 Å³ per cell; magnetic moment = 0.00 μB per atom; DOS(E_F) = 1.3 states/eV per cell; crystal system = orthorhombic; E_form (uncorrected) = -0.066 eV/atom
1.0
-2.718 2.592 -2.473
1.063 -2.460 -3.748
-3.670 -1.955 1.985
Sb Zn Au
2 1 1
direct
0.000 0.073 0.927
0.500 0.677 0.323
0.000 0.465 0.535
0.500 0.286 0.714

# 2
meta-GGA SCAN ZrSb4Au, single point on PBEsol structure; SG = F-43m, No. 216; V = 150.79 Å³ per cell; magnetic moment = 0.00 μB per atom; DOS(E_F) = 4.0 states/eV per cell; crystal system = cubic; E_form (uncorrected) = 0.423 eV/atom
1.0
-1.074 -0.372 5.865
-4.744 -3.045 1.981
0.762 -5.194 2.853
Au Sb Zr
1 4 1
direct
0.000 0.000 0.000
0.375 0.375 0.375
0.375 0.375 0.876
0.876 0.375 0.375
0.375 0.876 0.375
0.750 0.750 0.750

# 3
meta-GGA SCAN ZrSb3Au, single point on PBEsol structure; SG = Pm-3m, No. 221; V = 157.27 Å³ per cell; magnetic moment = 0.00 μB per atom; DOS(E_F) = 2.3 states/eV per cell; crystal system = cubic; E above lowest polymorph = 0 meV per atom; E_form (uncorrected) = 0.519 eV/atom
1.0
-3.548 -4.067 0.110
4.065 -3.538 0.304
-0.156 0.283 5.388
Sb Au Zr
3 1 1
direct
0.000 0.500 0.000
0.000 0.000 0.500
0.500 0.000 0.000
0.500 0.500 0.500
0.000 0.000 0.000

# 4
meta-GGA SCAN ZrSbAu2, single point on PBEsol structure; SG = I4/mmm, No. 139; V = 77.61 Å³ per cell; magnetic moment = 0.00 μB per atom; DOS(E_F) = 1.7 states/eV per cell; crystal system = tetragonal; E_form (uncorrected) = -0.443 eV/atom
1.0
4.156 0.000 0.000
0.000 4.156 0.000
-2.078 -2.078 4.494
Au Sb Zr
2 1 1
direct
0.750 0.250 0.500
0.250 0.750 0.500
0.000 0.000 0.000
0.500 0.500 0.000

# 5
meta-GGA SCAN ZrSb3Au, single point on PBEsol structure; SG = Pm-3m, No. 221; V = 142.30 Å³ per cell; magnetic moment = 0.00 μB per atom; DOS(E_F) = 4.4 states/eV per cell; crystal system = cubic; E above lowest polymorph = 133 meV per atom; E_form (uncorrected) = 0.652 eV/atom
1.0
-2.153 4.741 0.379
-1.156 -0.118 -5.090
-4.613 -2.183 1.098
Sb Au Zr
3 1 1
direct
0.000 0.500 0.000
0.000 0.000 0.500
0.500 0.000 0.000
0.000 0.000 0.000
0.500 0.500 0.500

# 6
meta-GGA SCAN Zr2SbAu, single point on PBEsol structure; SG = P4/mmm, No. 123; V = 81.86 Å³ per cell; magnetic moment = 0.00 μB per atom; DOS(E_F) = 2.7 states/eV per cell; crystal system = tetragonal; E_form (uncorrected) = -0.656 eV/atom
1.0
3.657 0.000 0.000
0.000 3.657 0.000
0.000 0.000 6.120
Au Sb Zr
1 1 2
direct
0.500 0.500 0.000
0.500 0.500 0.500
0.000 0.000 0.753
0.000 0.000 0.247

# 7
meta-GGA SCAN ZrSbAu2, single point on PBEsol structure; SG = F-43m, No. 216; V = 78.32 Å³ per cell; magnetic moment = 0.00 μB per atom; DOS(E_F) = 3.8 states/eV per cell; crystal system = cubic; E_form (uncorrected) = -0.288 eV/atom
1.0
4.803 0.000 0.000
2.401 4.159 0.000
2.401 1.386 3.921
Au Sb Zr
2 1 1
direct
0.000 0.000 0.000
0.750 0.750 0.750
0.500 0.500 0.500
0.250 0.250 0.250

# 8
meta-GGA SCAN ZrSbAu2, single point on PBEsol structure; SG = P4/mmm, No. 123; V = 77.19 Å³ per cell; magnetic moment = 0.00 μB per atom; DOS(E_F) = 1.5 states/eV per cell; crystal system = tetragonal; E_form (uncorrected) = -0.469 eV/atom
1.0
4.145 0.000 0.000
0.000 4.145 0.000
0.000 0.000 4.492
Sb Au Zr
1 2 1
direct
0.500 0.500 0.500
0.000 0.500 0.000
0.500 0.000 0.000
0.000 0.000 0.500

# 9
meta-GGA SCAN Sc3Au, single point on PBEsol structure; SG = Immm, No. 71; V = 83.36 Å³ per cell; magnetic moment = 0.00 μB per atom; formation energy from the elements = -0.59 eV per atom; DOS(E_F) = 3.0 states/eV per cell; crystal system = orthorhombic
1.0
-0.639 3.336 -0.784
-2.417 -1.368 -3.850
-2.707 -1.157 5.038
Sc Au
3 1
direct
0.281 0.781 0.562
0.500 0.500 0.000
0.719 0.219 0.438
0.000 0.000 0.000

# 10
meta-GGA SCAN Sc2Au, single point on PBEsol structure; SG = Pnma, No. 62; V = 246.93 Å³ per cell; magnetic moment = 0.00 μB per atom; formation energy from the elements = -0.91 eV per atom; DOS(E_F) = 10.3 states/eV per cell; crystal system = orthorhombic
1.0
-2.746 3.706 -0.267
-0.981 -0.268 6.368
6.545 4.936 1.216
Sc Au
8 4
direct
0.750 0.657 0.077
0.250 0.984 0.187
0.250 0.484 0.313
0.750 0.157 0.423
0.250 0.843 0.577
0.750 0.516 0.687
0.750 0.016 0.813
0.250 0.343 0.923
0.750 0.241 0.099
0.750 0.741 0.401
0.250 0.259 0.599
0.250 0.759 0.901

# 11
meta-GGA SCAN Sc4Au, single point on PBEsol structure; SG = Im-3m, No. 229; V = 127.51 Å³ per cell; magnetic moment = 0.12 μB per atom; formation energy from the elements = 0.01 eV per atom; DOS(E_F) = 8.0 states/eV per cell; crystal system = cubic
1.0
-4.036 -3.683 -0.553
4.685 -2.114 -1.935
0.615 1.259 5.310
Au Sc
1 4
direct
0.000 0.000 0.000
0.000 0.000 0.500
0.000 0.500 0.000
0.500 0.000 0.000
0.500 0.500 0.500

# 12
meta-GGA SCAN Sc3Au, single point on PBEsol structure; SG = P-6m2, No. 187; V = 89.58 Å³ per cell; magnetic moment = 0.12 μB per atom; formation energy from the elements = -0.41 eV per atom; DOS(E_F) = 3.8 states/eV per cell; crystal system = hexagonal
1.0
3.394 0.000 0.000
-1.697 2.939 0.000
0.000 0.000 8.979
Au Sc
1 3
direct
0.000 0.000 0.000
0.000 0.000 0.500
0.667 0.333 0.781
0.667 0.333 0.219

# 13
meta-GGA SCAN Sc3Au, single point on PBEsol structure; SG = Pnma, No. 62; V = 336.97 Å³ per cell; magnetic moment = 0.00 μB per atom; formation energy from the elements = -0.66 eV per atom; DOS(E_F) = 5.4 states/eV per cell; crystal system = orthorhombic
1.0
-1.498 0.064 6.008
-0.356 -6.228 -0.023
8.449 -0.490 2.112
Au Sc
4 12
direct
0.964 0.491 0.250
0.536 0.991 0.750
0.464 0.009 0.250
0.036 0.509 0.750
0.995 0.087 0.750
0.776 0.724 0.954
0.776 0.724 0.546
0.724 0.224 0.454
0.724 0.224 0.046
0.505 0.587 0.250
0.495 0.413 0.750
0.276 0.776 0.954
0.276 0.776 0.546
0.224 0.276 0.454
0.224 0.276 0.046
0.005 0.913 0.250

# 14
meta-GGA SCAN Sc5Au3, single point on PBEsol structure; SG = I4/mcm, No. 140; V = 322.48 Å³ per cell; magnetic moment = 0.00 μB per atom; formation energy from the elements = -0.85 eV per atom; DOS(E_F) = 20.2 states/eV per cell; crystal system = tetragonal; E above lowest polymorph = 36 meV per atom
1.0
5.522 0.000 0.000
2.761 7.642 0.000
2.761 0.000 7.642
Au Sc
6 10
direct
0.161 0.500 0.178
0.250 0.000 0.000
0.661 0.178 0.500
0.339 0.822 0.500
0.750 0.000 0.000
0.839 0.500 0.822
0.713 0.868 0.705
0.418 0.295 0.868
0.750 0.500 0.500
0.918 0.868 0.295
0.213 0.705 0.868
0.787 0.295 0.132
0.082 0.132 0.705
0.250 0.500 0.500
0.582 0.705 0.132
0.287 0.132 0.295

# 15
meta-GGA SCAN Sc5Au3, single point on PBEsol structure; SG = P6_3/mcm, No. 193; V = 319.88 Å³ per cell; magnetic moment = 0.00 μB per atom; formation energy from the elements = -0.89 eV per atom; DOS(E_F) = 18.5 states/eV per cell; crystal system = hexagonal; E above lowest polymorph = 0 meV per atom
1.0
5.489 0.000 0.000
0.000 8.203 0.000
0.000 -4.102 7.104
Au Sc
6 10
direct
0.250 0.000 0.399
0.750 0.000 0.601
0.250 0.601 0.601
0.750 0.601 0.000
0.750 0.399 0.399
0.250 0.399 0.000
0.750 0.000 0.241
0.250 0.000 0.759
0.750 0.759 0.759
0.250 0.759 0.000
0.000 0.667 0.333
0.500 0.667 0.333
0.000 0.333 0.667
0.500 0.333 0.667
0.250 0.241 0.241
0.750 0.241 0.000

# 16
meta-GGA SCAN Sc3Au, single point on PBEsol structure; SG = Fm-3m, No. 225; V = 80.06 Å³ per cell; magnetic moment = 0.53 μB per atom; formation energy from the elements = -0.40 eV per atom; DOS(E_F) = 5.1 states/eV per cell; crystal system = cubic
1.0
4.838 0.000 0.000
2.419 4.190 0.000
2.419 1.397 3.950
Au Sc
1 3
direct
0.000 0.000 0.000
0.250 0.250 0.250
0.500 0.500 0.500
0.750 0.750 0.750

# 17
meta-GGA SCAN Sc3Au4, single point on PBEsol structure; SG = I4/mmm, No. 139; V = 130.77 Å³ per cell; magnetic moment = 0.15 μB per atom; formation energy from the elements = -0.93 eV per atom; DOS(E_F) = 3.4 states/eV per cell; crystal system = tetragonal
1.0
-0.098 -3.052 -1.778
3.322 0.525 -1.084
1.947 -3.778 9.893
Au Sc
4 3
direct
0.143 0.143 0.287
0.433 0.433 0.866
0.567 0.567 0.134
0.857 0.857 0.713
0.000 0.000 0.000
0.298 0.298 0.596
0.702 0.702 0.404

# 18
meta-GGA SCAN Sc2Au, single point on PBEsol structure; SG = P-62m, No. 189; V = 188.26 Å³ per cell; magnetic moment = 0.00 μB per atom; formation energy from the elements = -0.85 eV per atom; DOS(E_F) = 4.7 states/eV per cell; crystal system = hexagonal
1.0
-3.229 1.552 2.755
-4.524 -0.083 -5.256
0.743 -5.599 4.024
Au Sc
3 6
direct
0.500 0.000 0.000
0.000 0.667 0.333
0.000 0.333 0.667
0.000 0.000 0.255
0.500 0.000 0.587
0.000 0.745 0.745
0.000 0.255 0.000
0.500 0.413 0.413
0.500 0.587 0.000

# 19
meta-GGA SCAN Sc5Au, single point on PBEsol structure; SG = P4/mmm, No. 123; V = 131.88 Å³ per cell; magnetic moment = 0.17 μB per atom; formation energy from the elements = -0.33 eV per atom; DOS(E_F) = 6.2 states/eV per cell; crystal system = tetragonal; E above lowest polymorph = 17 meV per atom
1.0
-1.716 0.165 2.867
-2.748 -1.066 -1.583
2.943 -11.155 2.403
Sc Au
5 1
direct
0.000 0.000 0.639
0.500 0.500 0.820
0.000 0.000 0.000
0.500 0.500 0.180
0.000 0.000 0.361
0.500 0.500 0.500

# 20
meta-GGA SCAN Sc5Au, single point on PBEsol structure; SG = C2/m, No. 12; V = 131.22 Å³ per cell; magnetic moment = 0.20 μB per atom; formation energy from the elements = -0.34 eV per atom; DOS(E_F) = 6.6 states/eV per cell; crystal system = monoclinic; E above lowest polymorph = 0 meV per atom
1.0
-0.054 3.360 -0.593
-0.339 -2.642 -5.122
-6.771 0.456 3.204
Sc Au
5 1
direct
0.619 0.237 0.802
0.304 0.607 0.638
0.972 0.944 0.445
0.641 0.281 0.250
0.326 0.652 0.087
0.972 0.944 0.944

# 21
meta-GGA SCAN Sc2Au, single point on PBEsol structure; SG = Cmc2_1, No. 36; V = 128.79 Å³ per cell; magnetic moment = 0.00 μB per atom; formation energy from the elements = -0.74 eV per atom; DOS(E_F) = 6.7 states/eV per cell; crystal system = orthorhombic
1.0
3.514 0.000 0.000
-1.757 5.799 0.043
0.000 -0.048 6.319
Au Sc
2 4
direct
0.985 0.969 0.941
0.738 0.475 0.441
0.385 0.769 0.212
0.058 0.117 0.514
0.338 0.675 0.712
0.664 0.328 0.013

# 22
meta-GGA SCAN Sc2Au, single point on PBEsol structure; SG = Fd-3m, No. 227; V = 489.64 Å³ per cell; magnetic moment = 0.00 μB per atom; formation energy from the elements = -0.85 eV per atom; DOS(E_F) = 23.2 states/eV per cell; crystal system = cubic
1.0
8.847 0.000 0.000
4.424 7.662 0.000
4.424 2.554 7.224
Au Sc
8 16
direct
0.277 0.908 0.908
0.908 0.908 0.908
0.908 0.277 0.908
0.908 0.908 0.277
0.973 0.342 0.342
0.342 0.342 0.342
0.342 0.973 0.342
0.342 0.342 0.973
0.125 0.125 0.625
0.125 0.625 0.125
0.125 0.125 0.125
0.625 0.125 0.125
0.315 0.685 0.685
0.315 0.315 0.685
0.315 0.685 0.315
0.685 0.315 0.685
0.685 0.685 0.315
0.685 0.315 0.315
0.935 0.565 0.565
0.935 0.935 0.565
0.935 0.565 0.935
0.565 0.935 0.565
0.565 0.565 0.935
0.565 0.935 0.935

# 23
meta-GGA SCAN Sc3Au, single point on PBEsol structure; SG = P6_3/mmc, No. 194; V = 161.65 Å³ per cell; magnetic moment = 0.00 μB per atom; formation energy from the elements = -0.58 eV per atom; DOS(E_F) = 3.2 states/eV per cell; crystal system = hexagonal
1.0
-1.102 4.262 2.049
-0.694 -2.814 5.481
5.541 2.231 -1.660
Au Sc
2 6
direct
0.750 0.667 0.333
0.250 0.333 0.667
0.750 0.174 0.348
0.250 0.826 0.652
0.750 0.174 0.826
0.250 0.826 0.174
0.750 0.652 0.826
0.250 0.348 0.174

# 24
meta-GGA SCAN Sc2AuSe, single point on PBEsol structure; SG = Cmmm, No. 65; V = 75.20 Å³ per cell; magnetic moment = 0.19 μB per atom; DOS(E_F) = 3.0 states/eV per cell; crystal system = orthorhombic; E_form (uncorrected) = -1.086 eV/atom
1.0
-2.130 1.902 1.717
-1.830 -3.887 2.035
3.251 0.549 3.424
Au Sc Se
1 2 1
direct
0.500 0.500 0.500
0.000 0.500 0.000
0.000 0.000 0.500
0.500 0.000 0.000

# 25
meta-GGA SCAN Sc2AuSe, single point on PBEsol structure; SG = R-3m, No. 166; V = 81.25 Å³ per cell; magnetic moment = 0.00 μB per atom; DOS(E_F) = 1.8 states/eV per cell; crystal system = trigonal; E_form (uncorrected) = -1.358 eV/atom
1.0
3.687 0.000 0.000
1.844 3.193 0.000
1.844 1.064 6.901
Sc Au Se
2 1 1
direct
0.748 0.748 0.757
0.252 0.252 0.243
0.500 0.500 0.500
0.000 0.000 0.000